# 1
# Ac6DyPb10

A geometry-optimized Ac6DyPb10 structure (PBE, the Alexandria database).

a = 10.0079 Å, b = 10.0079 Å, c = 6.8559 Å
α = 90.00°, β = 90.00°, γ = 120.00°
Sites, in units of the cell vectors:
Ac  0.0000  0.3909  0.2380
Ac  0.0000  0.6091  0.7620
Ac  0.3909  0.0000  0.2380
Ac  0.3909  0.3909  0.7620
Ac  0.6091  0.0000  0.7620
Ac  0.6091  0.6091  0.2380
Dy  0.0000  0.0000  0.0000
Pb  0.0000  0.2403  0.6922
Pb  0.0000  0.7597  0.3078
Pb  0.2403  0.0000  0.6922
Pb  0.2403  0.2403  0.3078
Pb  0.3333  0.6667  0.0000
Pb  0.3333  0.6667  0.5000
Pb  0.6667  0.3333  0.0000
Pb  0.6667  0.3333  0.5000
Pb  0.7597  0.0000  0.3078
Pb  0.7597  0.7597  0.6922

**Formation energy**: -0.398 eV per atom

# 2
# CsZn3Ni

A geometry-optimized CsZn3Ni structure (PBE, the Alexandria database).

a = 6.9190 Å, b = 6.9190 Å, c = 6.9190 Å
α = 90.00°, β = 90.00°, γ = 90.00°
Sites, in units of the cell vectors:
Cs  0.0000  0.0000  0.0000
Zn  0.0000  0.0000  0.5000
Zn  0.0000  0.5000  0.0000
Zn  0.5000  0.0000  0.0000
Ni  0.5000  0.5000  0.5000

**Formation energy**: 1.400 eV per atom
**Excess energy over the best structure of this formula in the dataset**: 1312.4 meV per atom

# 3
# TcNi3Sb

A geometry-optimized TcNi3Sb structure (PBE, the Alexandria database).

a = 4.5047 Å, b = 4.5047 Å, c = 4.5047 Å
α = 90.00°, β = 90.00°, γ = 90.00°
Sites, in units of the cell vectors:
Tc  0.0000  0.0000  0.0000
Ni  0.0000  0.0000  0.5000
Ni  0.0000  0.5000  0.0000
Ni  0.5000  0.0000  0.0000
Sb  0.5000  0.5000  0.5000

**Excess energy over the best structure of this formula in the dataset**: 0.0 meV per atom

# 4
# ScNb2Fe

A geometry-optimized ScNb2Fe structure (PBE, the Alexandria database).

a = 9.9458 Å, b = 9.9458 Å, c = 9.9458 Å
α = 16.89°, β = 16.89°, γ = 16.89°
Sites, in units of the cell vectors:
Sc  0.0000  0.0000  0.0000
Nb  0.0973  0.0973  0.0973
Nb  0.9027  0.9027  0.9027
Fe  0.5000  0.5000  0.5000

**Formation energy**: 0.446 eV per atom
**Excess energy over the best structure of this formula in the dataset**: 212.3 meV per atom

Question: Which formula does entry 3 have?
Answer: TcNi3Sb